No. 1
# BaLi2Ta

A crystal of BaLi2Ta relaxed with PBEsol (meta-GGA SCAN, Alexandria).

Output
Volume ... 95 Å³/f.u.
Space-group type ... C2/m, No. 12
Density of states at the Fermi level ... 3.4 states/eV/f.u.
DFT total energy ... -26.90 eV/atom
Energy relative to the elements ... 0.827 eV per atom

abc: 2.9378 5.3998 6.2111
angles: 93.97 90.00 105.79
Last column: magnetic moment on the atom in μB.
Sites, in units of the cell vectors:
Ba (0.0000, 0.0000, 0.5000)  0.07
Li (0.2408, 0.4815, 0.1858)  0.00
Ta (0.5000, 0.0000, 0.0000)  0.44
Li (0.7592, 0.5185, 0.8142)  0.00



No. 2
# BaLi3Tc

A crystal of BaLi3Tc relaxed with PBEsol (meta-GGA SCAN, Alexandria).

Output
Volume ... 118 Å³/f.u.
Space-group type ... Pm-3m, No. 221
Density of states at the Fermi level ... 6.5 states/eV/f.u.
DFT total energy ... -14.71 eV/atom
Energy relative to the elements ... 1.643 eV per atom

abc: 4.8996 4.8996 4.8996
angles: 90.00 90.00 90.00
Last column: magnetic moment on the atom in μB.
Sites, in units of the cell vectors:
Li (0.0000, 0.0000, 0.5000)  -0.04
Li (0.5000, 0.0000, 0.0000)  -0.04
Tc (0.5000, 0.5000, 0.5000)  3.47
Ba (0.0000, 0.0000, 0.0000)  -0.34
Li (0.0000, 0.5000, 0.0000)  -0.04



No. 3
# BaLiTc

A crystal of BaLiTc relaxed with PBEsol (meta-GGA SCAN, Alexandria).

Output
Volume ... 65 Å³/f.u.
Space-group type ... P3m1, No. 156
Density of states at the Fermi level ... 1.9 states/eV/f.u.
DFT total energy ... -24.67 eV/atom
Energy relative to the elements ... 0.994 eV per atom

abc: 2.9064 5.0653 5.0653
angles: 120.00 90.00 90.00
Sites, in units of the cell vectors:
Tc (0.4175, 0.6667, 0.3333)
Li (0.6132, 0.3333, 0.6667)
Ba (0.9693, 0.0000, 0.0000)



No. 4
# BaLiTc

A crystal of BaLiTc relaxed with PBEsol (meta-GGA SCAN, Alexandria).

Output
Volume ... 82 Å³/f.u.
Space-group type ... F-43m, No. 216
Density of states at the Fermi level ... 1.1 states/eV/f.u.
DFT total energy ... -24.21 eV/atom
Energy relative to the elements ... 1.456 eV per atom

abc: 4.8780 4.8780 4.8780
angles: 60.00 60.00 60.00
Last column: magnetic moment on the atom in μB.
Sites, in units of the cell vectors:
Tc (0.5000, 0.5000, 0.5000)  2.58
Li (0.0000, 0.0000, 0.0000)  -0.04
Ba (0.2500, 0.2500, 0.2500)  -0.04



No. 5
# BaLiTc

A crystal of BaLiTc relaxed with PBEsol (meta-GGA SCAN, Alexandria).

Output
Volume ... 65 Å³/f.u.
Space-group type ... Imm2, No. 44
Density of states at the Fermi level ... 2.0 states/eV/f.u.
DFT total energy ... -24.73 eV/atom
Energy relative to the elements ... 0.934 eV per atom

abc: 2.9908 3.9779 6.0066
angles: 109.34 104.42 90.00
Sites, in units of the cell vectors:
Ba (0.9943, 0.9943, 0.9885)
Li (0.7079, 0.7079, 0.4159)
Tc (0.2978, 0.2978, 0.5956)



No. 6
# BaLi2Tc

A crystal of BaLi2Tc relaxed with PBEsol (meta-GGA SCAN, Alexandria).

Output
Volume ... 88 Å³/f.u.
Space-group type ... Pmm2, No. 25
Density of states at the Fermi level ... 2.9 states/eV/f.u.
DFT total energy ... -19.15 eV/atom
Energy relative to the elements ... 0.693 eV per atom

abc: 2.9544 3.8068 7.8077
angles: 90.00 90.00 90.00
Sites, in units of the cell vectors:
Li (0.5000, 0.5000, 0.2762)
Ba (0.5000, 0.5000, 0.7026)
Li (0.0000, 0.0000, 0.0916)
Tc (0.0000, 0.0000, 0.4296)



No. 7
# Ba2LiTe

A crystal of Ba2LiTe relaxed with PBEsol (meta-GGA SCAN, Alexandria).

Output
Volume ... 149 Å³/f.u.
Space-group type ... Amm2, No. 38
Density of states at the Fermi level ... 2.9 states/eV/f.u.
DFT total energy ... -30.60 eV/atom
ΔE_f (raw) ... -913 meV/atom

abc: 4.7514 4.8847 6.8834
angles: 110.78 90.00 90.00
Last column: magnetic moment on the atom in μB.
Sites, in units of the cell vectors:
Li (0.5000, 0.4337, 0.8674)  -0.01
Te (0.0000, 0.3087, 0.6174)  0.01
Ba (0.5000, 0.7327, 0.4654)  -0.12
Ba (0.0000, 0.0249, 0.0498)  -0.12



No. 8
# BaLi2Te2

A crystal of BaLi2Te2 relaxed with PBEsol (meta-GGA SCAN, Alexandria).

Output
Volume ... 138 Å³/f.u.
Space-group type ... I4/mmm, No. 139
Density of states at the Fermi level ... 0.0 states/eV/f.u.
DFT total energy ... -25.22 eV/atom
ΔE_f (raw) ... -1453 meV/atom

abc: 4.3703 4.3703 7.8622
angles: 106.14 106.14 90.00
Sites, in units of the cell vectors:
Li (0.2500, 0.7500, 0.5000)
Te (0.6332, 0.6332, 0.2664)
Li (0.7500, 0.2500, 0.5000)
Ba (0.0000, 0.0000, 0.0000)
Te (0.3668, 0.3668, 0.7336)



No. 9
# Ba2LiTe

A crystal of Ba2LiTe relaxed with PBEsol (meta-GGA SCAN, Alexandria).

Output
Volume ... 140 Å³/f.u.
Space-group type ... Imm2, No. 44
Density of states at the Fermi level ... 1.3 states/eV/f.u.
DFT total energy ... -30.50 eV/atom
ΔE_f (raw) ... -820 meV/atom

abc: 4.3311 5.3059 6.9962
angles: 112.28 108.03 90.00
Last column: magnetic moment on the atom in μB.
Sites, in units of the cell vectors:
Ba (0.9794, 0.9794, 0.9588)  0.15
Te (0.2035, 0.7035, 0.4069)  0.00
Li (0.5543, 0.5543, 0.1086)  0.02
Ba (0.7629, 0.2629, 0.5257)  0.10



No. 10
# BaLiTe4

A crystal of BaLiTe4 relaxed with PBEsol (meta-GGA SCAN, Alexandria).

Output
Volume ... 195 Å³/f.u.
Space-group type ... F-43m, No. 216
Density of states at the Fermi level ... 3.2 states/eV/f.u.
DFT total energy ... -32.25 eV/atom
ΔE_f (raw) ... -426 meV/atom

abc: 6.5069 6.5069 6.5069
angles: 60.00 60.00 60.00
Sites, in units of the cell vectors:
Ba (0.7500, 0.7500, 0.7500)
Te (0.3743, 0.8772, 0.3743)
Te (0.8772, 0.3743, 0.3743)
Te (0.3743, 0.3743, 0.3743)
Te (0.3743, 0.3743, 0.8772)
Li (0.0000, 0.0000, 0.0000)



No. 11
# BaLi2Ti

A crystal of BaLi2Ti relaxed with PBEsol (meta-GGA SCAN, Alexandria).

Output
Volume ... 115 Å³/f.u.
Space-group type ... I-42d, No. 122
Density of states at the Fermi level ... 4.2 states/eV/f.u.
DFT total energy ... -14.39 eV/atom
Energy relative to the elements ... 0.702 eV per atom

abc: 4.5281 4.5281 11.6508
angles: 101.21 101.21 90.00
Last column: magnetic moment on the atom in μB.
Sites, in units of the cell vectors:
Ti (0.5000, 0.5000, 0.0000)  1.96
Li (0.8049, 0.8750, 0.2500)  0.01
Li (0.4451, 0.3750, 0.2500)  0.01
Li (0.6250, 0.1951, 0.7500)  0.01
Ba (0.0000, 0.0000, 0.0000)  0.25
Ba (0.2500, 0.7500, 0.5000)  0.25
Li (0.1250, 0.5549, 0.7500)  0.01
Ti (0.7500, 0.2500, 0.5000)  1.96



No. 12
# BaLi3Tl

A crystal of BaLi3Tl relaxed with PBEsol (meta-GGA SCAN, Alexandria).

Output
Volume ... 144 Å³/f.u.
Space-group type ... Pm-3m, No. 221
Density of states at the Fermi level ... 1.4 states/eV/f.u.
DFT total energy ... -24.05 eV/atom
Energy relative to the elements ... -0.235 eV per atom

abc: 5.2361 5.2361 5.2361
angles: 90.00 90.00 90.00
Sites, in units of the cell vectors:
Li (0.0000, 0.5000, 0.0000)
Li (0.0000, 0.0000, 0.5000)
Ba (0.5000, 0.5000, 0.5000)
Tl (0.0000, 0.0000, 0.0000)
Li (0.5000, 0.0000, 0.0000)



No. 13
# BaLiTl3

A crystal of BaLiTl3 relaxed with PBEsol (meta-GGA SCAN, Alexandria).

Output
Volume ... 144 Å³/f.u.
Space-group type ... Pm-3m, No. 221
Density of states at the Fermi level ... 2.4 states/eV/f.u.
DFT total energy ... -52.15 eV/atom
Energy relative to the elements ... -0.347 eV per atom

abc: 5.2357 5.2357 5.2357
angles: 90.00 90.00 90.00
Sites, in units of the cell vectors:
Tl (0.5000, 0.0000, 0.0000)
Tl (0.0000, 0.0000, 0.5000)
Ba (0.5000, 0.5000, 0.5000)
Li (0.0000, 0.0000, 0.0000)
Tl (0.0000, 0.5000, 0.0000)



No. 14
# BaLiTl

A crystal of BaLiTl relaxed with PBEsol (meta-GGA SCAN, Alexandria).

Output
Volume ... 94 Å³/f.u.
Space-group type ... I4mm, No. 107
Density of states at the Fermi level ... 0.8 states/eV/f.u.
DFT total energy ... -38.45 eV/atom
Energy relative to the elements ... -0.347 eV per atom

abc: 3.9617 3.9617 6.5870
angles: 107.50 107.50 90.00
Sites, in units of the cell vectors:
Tl (0.3001, 0.3001, 0.6002)
Li (0.7061, 0.7061, 0.4122)
Ba (0.9938, 0.9938, 0.9876)



No. 15
# Ba2LiTl2

A crystal of Ba2LiTl2 relaxed with PBEsol (meta-GGA SCAN, Alexandria).

Output
Volume ... 189 Å³/f.u.
Space-group type ... P4/mbm, No. 127
Density of states at the Fermi level ... 4.3 states/eV/f.u.
DFT total energy ... -45.64 eV/atom
Energy relative to the elements ... -0.397 eV per atom

abc: 4.5979 9.0581 9.0581
angles: 90.00 90.00 90.00
Sites, in units of the cell vectors:
Li (0.0000, 0.5000, 0.5000)
Tl (0.0000, 0.3648, 0.8648)
Tl (0.0000, 0.6352, 0.1352)
Tl (0.0000, 0.8648, 0.6352)
Tl (0.0000, 0.1352, 0.3648)
Ba (0.5000, 0.3377, 0.1623)
Ba (0.5000, 0.8377, 0.3377)
Ba (0.5000, 0.1623, 0.6623)
Li (0.0000, 0.0000, 0.0000)
Ba (0.5000, 0.6623, 0.8377)



No. 16
# BaLiTl

A crystal of BaLiTl relaxed with PBEsol (meta-GGA SCAN, Alexandria).

Output
Volume ... 93 Å³/f.u.
Space-group type ... P-6m2, No. 187
Density of states at the Fermi level ... 2.4 states/eV/f.u.
DFT total energy ... -38.47 eV/atom
Energy relative to the elements ... -0.373 eV per atom

abc: 3.8295 5.3045 5.3045
angles: 120.00 90.00 90.00
Sites, in units of the cell vectors:
Li (0.0000, 0.3333, 0.6667)
Ba (0.5000, 0.0000, 0.0000)
Tl (0.0000, 0.6667, 0.3333)



No. 17
# BaLiTl4

A crystal of BaLiTl4 relaxed with PBEsol (meta-GGA SCAN, Alexandria).

Output
Volume ... 184 Å³/f.u.
Space-group type ... F-43m, No. 216
Density of states at the Fermi level ... 3.9 states/eV/f.u.
DFT total energy ... -55.46 eV/atom
Energy relative to the elements ... -0.228 eV per atom

abc: 6.3890 6.3890 6.3890
angles: 60.00 60.00 60.00
Sites, in units of the cell vectors:
Tl (0.3743, 0.3743, 0.8770)
Tl (0.3743, 0.3743, 0.3743)
Tl (0.8770, 0.3743, 0.3743)
Ba (0.7500, 0.7500, 0.7500)
Li (0.0000, 0.0000, 0.0000)
Tl (0.3743, 0.8770, 0.3743)



No. 18
# BaLi2W

A crystal of BaLi2W relaxed with PBEsol (meta-GGA SCAN, Alexandria).

Output
Volume ... 92 Å³/f.u.
Space-group type ... Fm-3m, No. 225
Density of states at the Fermi level ... 2.4 states/eV/f.u.
DFT total energy ... -27.33 eV/atom
Energy relative to the elements ... 1.174 eV per atom

abc: 5.0721 5.0721 5.0721
angles: 60.00 60.00 60.00
Last column: magnetic moment on the atom in μB.
Sites, in units of the cell vectors:
Li (0.7500, 0.7500, 0.7500)  -0.01
W (0.5000, 0.5000, 0.5000)  2.53
Ba (0.0000, 0.0000, 0.0000)  0.02
Li (0.2500, 0.2500, 0.2500)  -0.01



No. 19
# Ba2LiY

A crystal of Ba2LiY relaxed with PBEsol (meta-GGA SCAN, Alexandria).

Output
Volume ... 162 Å³/f.u.
Space-group type ... P4/mmm, No. 123
Density of states at the Fermi level ... 5.0 states/eV/f.u.
DFT total energy ... -27.13 eV/atom
Energy relative to the elements ... 0.208 eV per atom

abc: 4.2756 4.2756 8.8400
angles: 90.00 90.00 90.00
Last column: magnetic moment on the atom in μB.
Sites, in units of the cell vectors:
Ba (0.0000, 0.0000, 0.7626)  -0.01
Ba (0.0000, 0.0000, 0.2374)  -0.01
Y (0.5000, 0.5000, 0.5000)  -0.14
Li (0.5000, 0.5000, 0.0000)  0.01



No. 20
# Ba2LiY

A crystal of Ba2LiY relaxed with PBEsol (meta-GGA SCAN, Alexandria).

Output
Volume ... 154 Å³/f.u.
Space-group type ... F-43m, No. 216
Density of states at the Fermi level ... 4.5 states/eV/f.u.
DFT total energy ... -27.03 eV/atom
Energy relative to the elements ... 0.302 eV per atom

abc: 6.0154 6.0154 6.0154
angles: 60.00 60.00 60.00
Last column: magnetic moment on the atom in μB.
Sites, in units of the cell vectors:
Ba (0.0000, 0.0000, 0.0000)  0.10
Y (0.2500, 0.2500, 0.2500)  0.27
Ba (0.7500, 0.7500, 0.7500)  0.06
Li (0.5000, 0.5000, 0.5000)  -0.01